Pm8NiRh3Cl4 | PBE | optimized geometry

abc: 8.1049 8.1049 8.8513
angles: 117.29 117.29 60.01
Sites, in units of the cell vectors:
1 Pm 0.2323 0.2323 0.7024
2 Pm 0.2323 0.7382 0.7024
3 Pm 0.2618 0.7677 0.2976
4 Pm 0.2642 0.2642 0.2929
5 Pm 0.7358 0.7358 0.7071
6 Pm 0.7382 0.2323 0.7024
7 Pm 0.7677 0.2618 0.2976
8 Pm 0.7677 0.7677 0.2976
9 Ni 0.0000 0.0000 0.5000
10 Rh 0.0000 0.5000 0.5000
11 Rh 0.5000 0.0000 0.5000
12 Rh 0.5000 0.5000 0.5000
13 Cl 0.0000 0.0000 0.0000
14 Cl 0.0000 0.5000 0.0000
15 Cl 0.5000 0.0000 0.0000
16 Cl 0.5000 0.5000 0.0000

## Properties
* uncorrected formation energy: -1.117 eV per atom
* SG: No. 12


LiBiIr3 | PBE | optimized geometry

abc: 4.3164 4.3164 4.3164
angles: 90.00 90.00 90.00
Sites, in units of the cell vectors:
1 Li 0.0000 0.0000 0.0000
2 Bi 0.5000 0.5000 0.5000
3 Ir 0.0000 0.0000 0.5000
4 Ir 0.0000 0.5000 0.0000
5 Ir 0.5000 0.0000 0.0000

## Properties
* ΔH_f (0 K): 801 meV per atom
* energy relative to the lowest polymorph listed for this composition: 0.000 eV per atom
* SG: No. 221


AgPt2W | PBE | optimized geometry

abc: 4.9290 4.9290 4.9116
angles: 98.72 98.72 32.90
Sites, in units of the cell vectors:
1 Ag 0.0000 0.0000 0.0000
2 Pt 0.2459 0.2459 0.7765
3 Pt 0.4977 0.4977 0.4878
4 W 0.7562 0.7562 0.2880

## Properties
* ΔH_f (0 K): -5 meV per atom
* energy relative to the lowest polymorph listed for this composition: 0.201 eV per atom
* SG: No. 8